(1)
Entry from the Alexandria database: a geometry-optimized SmDy6Ho3 structure (PBE).

Structure (CIF):
```
data_SmDy6Ho3
_cell_length_a 10.988
_cell_length_b 18.913
_cell_length_c 6.173
_cell_angle_alpha 90.00
_cell_angle_beta 90.00
_cell_angle_gamma 90.00
_symmetry_space_group_name_H-M 'C m c 21'
_symmetry_Int_Tables_number 36
_symmetry_space_group_name_Hall 'C 2c -2'
loop_
_atom_site_label
_atom_site_type_symbol
_atom_site_fract_x
_atom_site_fract_y
_atom_site_fract_z
Sm1 Sm 0.000 0.206 0.000
Dy1 Dy 0.000 0.046 0.768
Dy2 Dy 0.000 0.282 0.497
Dy3 Dy 0.165 0.454 0.388
Dy4 Dy 0.248 0.290 0.218
Ho1 Ho 0.000 0.390 0.925
Ho2 Ho 0.172 0.110 0.312
```

Summary:
crystal system = orthorhombic
volume = 32.069 A^3/atom

(2)
Entry from the Alexandria database: a geometry-optimized SmDy6Ho3 structure (PBE).

Structure (CIF):
```
data_SmDy6Ho3
_cell_length_a 9.599
_cell_length_b 20.909
_cell_length_c 6.361
_cell_angle_alpha 90.00
_cell_angle_beta 90.00
_cell_angle_gamma 90.00
_symmetry_space_group_name_H-M 'C m c 21'
_symmetry_Int_Tables_number 36
_symmetry_space_group_name_Hall 'C 2c -2'
loop_
_atom_site_label
_atom_site_type_symbol
_atom_site_fract_x
_atom_site_fract_y
_atom_site_fract_z
Sm1 Sm 0.000 0.161 0.000
Dy1 Dy 0.000 0.015 0.197
Dy2 Dy 0.000 0.302 0.220
Dy3 Dy 0.176 0.281 0.681
Dy4 Dy 0.180 0.440 0.439
Ho1 Ho 0.000 0.419 0.914
Ho2 Ho 0.169 0.127 0.524
```

Summary:
crystal system = orthorhombic
volume = 31.920 A^3/atom

(2) is the most stable structure; the next one sits 25 meV/atom above it.

(1)
Entry from the Alexandria database: a geometry-optimized Sm3DyHo6 structure (PBE).

Structure (CIF):
```
data_Sm3DyHo6
_cell_length_a 10.987
_cell_length_b 18.915
_cell_length_c 6.240
_cell_angle_alpha 90.00
_cell_angle_beta 90.00
_cell_angle_gamma 90.00
_symmetry_space_group_name_H-M 'C m c 21'
_symmetry_Int_Tables_number 36
_symmetry_space_group_name_Hall 'C 2c -2'
loop_
_atom_site_label
_atom_site_type_symbol
_atom_site_fract_x
_atom_site_fract_y
_atom_site_fract_z
Sm1 Sm 0.000 0.110 0.000
Sm2 Sm 0.172 0.389 0.608
Dy1 Dy 0.000 0.297 0.930
Ho1 Ho 0.000 0.221 0.425
Ho2 Ho 0.000 0.456 0.167
Ho3 Ho 0.165 0.047 0.528
Ho4 Ho 0.246 0.210 0.701
```

Summary:
crystal system = orthorhombic
volume = 32.424 A^3/atom

(2)
Entry from the Alexandria database: a geometry-optimized Sm3DyHo6 structure (PBE).

Structure (CIF):
```
data_Sm3DyHo6
_cell_length_a 11.477
_cell_length_b 6.561
_cell_length_c 9.586
_cell_angle_alpha 90.00
_cell_angle_beta 114.03
_cell_angle_gamma 90.00
_symmetry_space_group_name_H-M 'C 1 2/m 1'
_symmetry_Int_Tables_number 12
_symmetry_space_group_name_Hall '-C 2y'
loop_
_atom_site_label
_atom_site_type_symbol
_atom_site_fract_x
_atom_site_fract_y
_atom_site_fract_z
Sm1 Sm 0.000 0.000 0.000
Sm2 Sm 0.069 0.000 0.697
Dy1 Dy 0.000 0.500 0.500
Ho1 Ho 0.138 0.500 0.923
Ho2 Ho 0.186 0.253 0.309
```

Summary:
crystal system = monoclinic
volume = 32.964 A^3/atom

(1) is the most stable structure; the next one sits 75 meV/atom above it.